Compound: Ca6MoO8
Source: Alexandria
Functional: GGA+U
Structure: relaxed

Calculated values
- calculated volume (Å³/cell) = 874.8
- energy (eV per atom) = -6.63

CIF file:
```
data_Ca6MoO8
_chemical_formula_sum 'Ca24 Mo4 O32'
_cell_length_a 9.564
_cell_length_b 9.564
_cell_length_c 9.564
_cell_angle_alpha 90.00
_cell_angle_beta 90.00
_cell_angle_gamma 90.00
_space_group_name_H-M_alt 'F m -3 m'
_space_group_IT_number 225
_space_group_name_Hall '-F 4 2 3'
loop_
_atom_site_label
_atom_site_fract_x
_atom_site_fract_y
_atom_site_fract_z
_atom_site_occupancy
Ca1 0.000 0.250 0.250 1
Mo1 0.000 0.000 0.000 1
O1 0.000 0.000 0.221 1
O2 0.250 0.250 0.250 1
```